No. 1
Density functional theory data (PBEsol) for a geometry-optimized LiMoBr structure.

- symmetry = Fmm2, No. 42
- formation energy from raw total energies (eV per atom) = 0.46

Cell lengths 2.988, 2.988, 6.703 Å; angles 97.23, 97.23, 115.81 degrees
Fractional positions:
Br1 0.002 0.002 0.005
Li1 0.336 0.336 0.673
Mo1 0.661 0.661 0.322



No. 2
Density functional theory data (PBEsol) for a geometry-optimized AlOsW2 structure.

- electronic total energy (eV per cell) = -43.91
- symmetry = P4/mmm, No. 123

Cell lengths 2.794, 2.794, 7.641 Å; angles 90.00, 90.00, 90.00 degrees
Fractional positions:
Os1 0.500 0.500 0.500
Al1 0.500 0.500 0.000
W1 0.000 0.000 0.745
W2 0.000 0.000 0.255



No. 3
Density functional theory data (PBEsol) for a geometry-optimized AlZn2Cu structure.

- electronic total energy (eV per cell) = -11.70
- symmetry = Cm, No. 8

Cell lengths 2.768, 4.509, 4.682 Å; angles 100.12, 90.00, 107.87 degrees
Fractional positions:
Al1 0.495 0.990 0.485
Zn1 0.250 0.500 0.758
Zn2 0.004 0.009 0.001
Cu1 0.751 0.502 0.256



Please write out number 2 again, unchanged.
Density functional theory data (PBEsol) for a geometry-optimized AlOsW2 structure.

- electronic total energy (eV per cell) = -43.91
- symmetry = P4/mmm, No. 123

Cell lengths 2.794, 2.794, 7.641 Å; angles 90.00, 90.00, 90.00 degrees
Fractional positions:
Os1 0.500 0.500 0.500
Al1 0.500 0.500 0.000
W1 0.000 0.000 0.745
W2 0.000 0.000 0.255